Density functional theory data (PBE-GGA) for RbSi2P2 after structural relaxation.

Output
E = -4.592 eV per atom
Energy relative to the elements, uncorrected = -0.065 eV/atom
N(E_F) = 1.31 states/eV/f.u.

a b c (Å): 4.455 4.455 6.897
angles (deg): 71.16 71.16 90.00
Sites, in units of the cell vectors:
P (0.323, 0.323, 0.354)
P (0.677, 0.677, 0.646)
Si (0.750, 0.250, 0.500)
Si (0.250, 0.750, 0.500)
Rb (0.000, 0.000, 0.000)

=====

Density functional theory data (PBE-GGA) for AgPt2W after structural relaxation.

Output
ΔH_f (0 K) = 0.128 eV per atom
E = -6.844 eV per atom
N(E_F) = 3.01 states/eV/f.u.

a b c (Å): 4.971 4.971 4.971
angles (deg): 133.43 133.43 67.98
Sites, in units of the cell vectors:
Ag (0.750, 0.250, 0.500)
W (0.500, 0.500, 0.000)
Pt (0.000, 0.000, 0.000)
Pt (0.250, 0.750, 0.500)

=====

Density functional theory data (PBE-GGA) for Bi4Te after structural relaxation.

Output
E = -3.025 eV per atom
Energy relative to the elements, uncorrected = 0.708 eV/atom
N(E_F) = 7.59 states/eV/f.u.

a b c (Å): 5.860 5.860 5.860
angles (deg): 90.00 90.00 90.00
Sites, in units of the cell vectors:
Te (0.500, 0.500, 0.500)
Bi (0.000, 0.000, 0.000)
Bi (0.500, 0.000, 0.500)
Bi (0.000, 0.500, 0.500)
Bi (0.500, 0.500, 0.000)

=====

Density functional theory data (PBE-GGA) for HoPu2Pa after structural relaxation.

Output
ΔH_f (0 K) = 0.152 eV per atom
E = -10.533 eV per atom
N(E_F) = 14.51 states/eV/f.u.

a b c (Å): 3.364 3.364 10.966
angles (deg): 81.18 81.18 60.00
Each line ends with the local moment (μB).
Sites, in units of the cell vectors:
Pa (0.000, 0.000, 0.000)  0.07
Ho (0.500, 0.500, 0.500)  0.11
Pu (0.744, 0.744, 0.767)  5.25
Pu (0.256, 0.256, 0.233)  5.25